VASP calculation (meta-GGA SCAN) on K9Fe2O7 at its PBEsol-relaxed geometry.

total DFT energy (no corrections) = -10.110 eV/atom
calculated density = 2.96 g/cm³
volume = 1290 Å³/cell
raw formation energy = -1508 meV per atom
space group = P2_13 (198)

a b c (Å): 10.886 10.886 10.886
angles (deg): 90.00 90.00 90.00
Fractional positions:
K 0.004 0.289 0.838
K 0.040 0.781 0.166
K 0.066 0.066 0.066
K 0.103 0.603 0.897
K 0.162 0.504 0.211
K 0.166 0.040 0.781
K 0.211 0.162 0.504
K 0.219 0.666 0.460
K 0.229 0.229 0.229
K 0.271 0.771 0.729
K 0.281 0.334 0.960
K 0.289 0.838 0.004
K 0.334 0.960 0.281
K 0.338 0.496 0.711
K 0.397 0.397 0.397
K 0.434 0.934 0.566
K 0.460 0.219 0.666
K 0.496 0.711 0.338
K 0.504 0.211 0.162
K 0.540 0.719 0.834
K 0.566 0.434 0.934
K 0.603 0.897 0.103
K 0.662 0.996 0.789
K 0.666 0.460 0.219
K 0.711 0.338 0.496
K 0.719 0.834 0.540
K 0.729 0.271 0.771
K 0.771 0.729 0.271
K 0.781 0.166 0.040
K 0.789 0.662 0.996
K 0.834 0.540 0.719
K 0.838 0.004 0.289
K 0.897 0.103 0.603
K 0.934 0.566 0.434
K 0.960 0.281 0.334
K 0.996 0.789 0.662
Fe 0.072 0.928 0.428
Fe 0.096 0.404 0.596
Fe 0.404 0.596 0.096
Fe 0.428 0.072 0.928
Fe 0.572 0.572 0.572
Fe 0.596 0.096 0.404
Fe 0.904 0.904 0.904
Fe 0.928 0.428 0.072
O 0.055 0.316 0.082
O 0.069 0.844 0.906
O 0.082 0.055 0.316
O 0.094 0.569 0.656
O 0.156 0.406 0.431
O 0.184 0.918 0.555
O 0.198 0.302 0.698
O 0.302 0.698 0.198
O 0.316 0.082 0.055
O 0.344 0.594 0.931
O 0.406 0.431 0.156
O 0.418 0.945 0.816
O 0.431 0.156 0.406
O 0.445 0.684 0.582
O 0.555 0.184 0.918
O 0.569 0.656 0.094
O 0.582 0.445 0.684
O 0.594 0.931 0.344
O 0.656 0.094 0.569
O 0.684 0.582 0.445
O 0.698 0.198 0.302
O 0.802 0.802 0.802
O 0.816 0.418 0.945
O 0.844 0.906 0.069
O 0.906 0.069 0.844
O 0.918 0.555 0.184
O 0.931 0.344 0.594
O 0.945 0.816 0.418

=====

VASP calculation (meta-GGA SCAN) on AlIr2Se at its PBEsol-relaxed geometry.

total DFT energy (no corrections) = -42.365 eV/atom
calculated density = 13.52 g/cm³
volume = 120 Å³/cell
relative energy among the computed polymorphs = 0.3078 eV/atom
raw formation energy = 142 meV per atom
space group = C2/m (12)

a b c (Å): 5.565 8.775 2.876
angles (deg): 90.00 120.96 90.00
Fractional positions:
Al 0.000 0.000 0.000
Al 0.500 0.500 0.000
Ir 0.250 0.250 0.000
Ir 0.250 0.750 0.000
Ir 0.750 0.250 0.000
Ir 0.750 0.750 0.000
Se 0.000 0.500 0.000
Se 0.500 0.000 0.000